Material: SrInGa2
Method: DFT, GGA-PBE
State: optimized geometry

N(E_F) = 0.41 states/eV per atom
energy relative to the elements = -0.6 eV/f.u.
total energy = -2.756 eV per atom
space-group type = I-42d

a b c (Å): 4.950 4.950 10.382
angles (deg): 76.21 76.21 90.00
Sites, in units of the cell vectors:
In 0.000 0.000 0.000
In 0.750 0.250 0.500
Sr 0.250 0.750 0.500
Sr 0.500 0.500 0.000
Ga 0.875 0.028 0.750
Ga 0.972 0.625 0.250
Ga 0.778 0.125 0.250
Ga 0.375 0.222 0.750